PBE La8Ir2RuPt, relaxed; spin magnetization = 0.00 μB/f.u.; uncorrected energy = -6.617 eV/atom; formation energy = -578.8 meV/atom
1.0
6.765 0.000 0.000
0.000 8.642 0.000
-0.031 0.000 6.874
La Ir Ru Pt
8 2 1 1
direct
0.220 0.000 0.335
0.228 0.500 0.330
0.274 0.260 0.831
0.274 0.740 0.831
0.726 0.260 0.169
0.726 0.740 0.169
0.772 0.500 0.670
0.780 0.000 0.665
0.000 0.250 0.500
0.000 0.750 0.500
0.500 0.500 0.000
0.500 0.000 0.000